VASP calculation (SCAN) on AlIrAu2 at its PBEsol-relaxed geometry.

a b c (Å): 3.884 3.884 4.053
angles (deg): 90.00 90.00 90.00
Fractional coordinates of all 4 atoms:
Ir1 0.500 0.500 0.500
Au1 0.000 0.500 0.000
Au2 0.500 0.000 0.000
Al1 0.000 0.000 0.500

Properties
Final energy = -218.35 eV for the cell shown
Space-group type = No. 123
Mass density = 16.66 g/cm³